[1]
A geometry-optimized IrOs2 structure, computed with GGA-PBE.

**N(E_F)**: 3.203 states/eV per cell
**Crystal system**: trigonal
**Energy of formation from the pure elements**: 0.067 eV per atom
**V**: 14.4 Å³ per atom
**E**: -10.374 eV/atom

Unit cell a=2.7272 b=2.7272 c=6.7090 alpha=90.00 beta=90.00 gamma=120.00
Fractional positions:
Ir: 0.0000 0.0000 0.0000
Os: 0.3333 0.6667 0.6609
Os: 0.6667 0.3333 0.3391

***

[2]
A geometry-optimized Ir3Os2 structure, computed with GGA-PBE.

**N(E_F)**: 8.551 states/eV per cell
**Crystal system**: orthorhombic
**Energy of formation from the pure elements**: 0.408 eV per atom
**V**: 15.6 Å³ per atom
**E**: -9.400 eV/atom

Unit cell a=4.9570 b=4.9570 c=8.2703 alpha=90.00 beta=90.00 gamma=129.95
Fractional positions:
Ir: 0.0000 0.0000 0.0000
Ir: 0.0000 0.0000 0.5000
Ir: 0.3150 0.6850 0.5443
Ir: 0.3150 0.6850 0.9557
Ir: 0.6850 0.3150 0.0443
Ir: 0.6850 0.3150 0.4557
Os: 0.1751 0.8249 0.2500
Os: 0.4689 0.5311 0.2500
Os: 0.5311 0.4689 0.7500
Os: 0.8249 0.1751 0.7500

***

[3]
A geometry-optimized Ir7Os3 structure, computed with GGA-PBE.

**N(E_F)**: 9.263 states/eV per cell
**Crystal system**: monoclinic
**Energy of formation from the pure elements**: 0.027 eV per atom
**V**: 14.5 Å³ per atom
**E**: -9.545 eV/atom

Unit cell a=7.2458 b=7.2458 c=5.4675 alpha=100.66 beta=100.66 gamma=30.88
Fractional positions:
Ir: 0.0000 0.0000 0.0000
Ir: 0.2002 0.2002 0.6020
Ir: 0.3991 0.3991 0.1999
Ir: 0.4019 0.4019 0.7010
Ir: 0.5981 0.5981 0.2990
Ir: 0.6009 0.6009 0.8001
Ir: 0.7998 0.7998 0.3980
Os: 0.0000 0.0000 0.5000
Os: 0.2035 0.2035 0.0980
Os: 0.7965 0.7965 0.9020

***

[4]
A geometry-optimized Ir5Os4 structure, computed with GGA-PBE.

**N(E_F)**: 7.279 states/eV per cell
**Crystal system**: tetragonal
**Energy of formation from the pure elements**: 0.019 eV per atom
**V**: 14.4 Å³ per atom
**E**: -9.895 eV/atom

Unit cell a=6.1135 b=6.1135 c=6.1135 alpha=95.72 beta=95.72 gamma=143.19
Fractional positions:
Ir: 0.0000 0.0000 0.0000
Ir: 0.3315 0.3315 0.6630
Ir: 0.3315 0.6685 0.0000
Ir: 0.6685 0.3315 0.0000
Ir: 0.6685 0.6685 0.3370
Os: 0.0000 0.3384 0.3384
Os: 0.0000 0.6616 0.6616
Os: 0.3384 0.0000 0.3384
Os: 0.6616 0.0000 0.6616

***

[5]
A geometry-optimized Ir5Os structure, computed with GGA-PBE.

**N(E_F)**: 6.867 states/eV per cell
**Crystal system**: orthorhombic
**Energy of formation from the pure elements**: 0.063 eV per atom
**V**: 14.5 Å³ per atom
**E**: -9.193 eV/atom

Unit cell a=4.4314 b=7.2807 c=7.2807 alpha=21.79 beta=90.00 gamma=90.00
Fractional positions:
Ir: 0.0000 0.0000 0.0000
Ir: 0.0000 0.3287 0.3287
Ir: 0.5000 0.1090 0.1090
Ir: 0.5000 0.4411 0.4411
Ir: 0.5000 0.7758 0.7758
Os: 0.0000 0.6645 0.6645

***

[6]
A geometry-optimized IrOs2 structure, computed with GGA-PBE.

**N(E_F)**: 3.298 states/eV per cell
**Crystal system**: trigonal
**Energy of formation from the pure elements**: 1.246 eV per atom
**V**: 17.1 Å³ per atom
**E**: -9.194 eV/atom

Unit cell a=3.4493 b=3.4493 c=4.9814 alpha=90.00 beta=90.00 gamma=120.00
Fractional positions:
Ir: 0.0000 0.0000 0.0000
Os: 0.3333 0.6667 0.3648
Os: 0.6667 0.3333 0.6352

***

Question: The highest V belongs to which entry?
Answer: number 6